[1]
Compound: MgScAl2
Source: the Alexandria database
Functional: GGA-PBE
Structure: optimized geometry

Cell: 3.2718 3.2718 7.4155 Å, 90.00 90.00 90.00°
Last column: nearest neighbours and their distance in Å.
Element x y z (fractional)
Al  0.0000  0.0000  0.0247  4 Al 2.75, 4 Sc 2.94
Al  0.5000  0.5000  0.2248  4 Al 2.75, 4 Mg 2.95
Sc  0.5000  0.5000  0.7791  4 Al 2.94, 4 Mg 3.25, 4 Sc 3.27
Mg  0.0000  0.0000  0.4714  4 Al 2.95, 4 Sc 3.25, 4 Mg 3.27

Calculated values
Formation energy, meV/atom: -116
N(E_F), states/eV/cell: 2.8
Symmetry: P4mm (99)
Energy, eV per atom: -3.9690

=====

[2]
Compound: HgMo2Os
Source: the Alexandria database
Functional: GGA-PBE
Structure: optimized geometry

Cell: 2.8446 2.8446 8.3016 Å, 90.00 90.00 90.00°
Last column: nearest neighbours and their distance in Å.
Element x y z (fractional)
Os  0.0000  0.0000  0.4738  4 Mo 2.64, 4 Os 2.84
Mo  0.0000  0.0000  0.0152  8 Mo 2.84-2.90, 4 Hg 3.02
Mo  0.5000  0.5000  0.2675  4 Os 2.64, 8 Mo 2.84-2.90
Hg  0.5000  0.5000  0.7435  4 Hg 2.84, 4 Os 3.01, 4 Mo 3.02

Calculated values
Formation energy, meV/atom: 436
N(E_F), states/eV/cell: 3.3
Symmetry: P4mm (99)
Energy, eV per atom: -7.8624

=====

[3]
Compound: KTcPt2
Source: the Alexandria database
Functional: GGA-PBE
Structure: optimized geometry

Cell: 4.4087 2.7443 6.8870 Å, 84.83 90.00 90.00°
Last column: nearest neighbours and their distance in Å.
Element x y z (fractional)
Tc  0.0000  0.5642  0.3914  6 Pt 2.69-2.70, 2 Tc 2.74
Pt  0.5000  0.0935  0.2869  4 Tc 2.69-2.70, 4 Pt 2.72-2.74
Pt  0.0000  0.1401  0.0540  2 Tc 2.69, 4 Pt 2.72-2.74
K  0.5000  0.7021  0.7677  2 K 2.74

Calculated values
Formation energy, meV/atom: 372
N(E_F), states/eV/cell: 4.1
Symmetry: Pm (6)
Energy, eV per atom: -5.5144

=====

[4]
Compound: ThCuSi2Pd
Source: the Alexandria database
Functional: GGA-PBE
Structure: optimized geometry

Cell: 4.1595 4.1595 5.8376 Å, 110.87 110.87 90.00°
Last column: nearest neighbours and their distance in Å.
Element x y z (fractional)
Si  0.3811  0.3811  0.7622  1 Si 2.40, 2 Pd 2.46, 2 Cu 2.46
Si  0.6189  0.6189  0.2378  1 Si 2.40, 2 Pd 2.46, 2 Cu 2.46
Th  0.0000  0.0000  0.0000  8 Si 3.18, 4 Pd 3.27, 4 Cu 3.27
Cu  0.7500  0.2500  0.5000  4 Si 2.46
Pd  0.2500  0.7500  0.5000  4 Si 2.46

Calculated values
N(E_F), states/eV/cell: 2.3
Symmetry: I-4m2 (119)
Energy, eV per atom: -6.2899

=====

> Look up the energy of the third one.

-5.5144 eV per atom

=====

> The highest energy belongs to which entry?

MgScAl2

=====

> Among the records above, which one has the lowest energy?

HgMo2Os